Record 1
# GGA-PBE ThGa7Cu12, optimized geometry
# Magnetic moment ... 0.00 Bohr magnetons per cell
# ρ ... 8266 kg/m3
# Energy of formation ... -0.053 eV/atom
# Calculated volume ... 893 Å³/cell
data_ThGa7Cu12
_chemical_formula_sum 'Th3 Ga21 Cu36'
_symmetry_space_group_name_H-M 'R -3 m'
_symmetry_Int_Tables_number 166
_symmetry_space_group_name_Hall '-R 3 2"'
_cell_length_a 12.6256
_cell_length_b 12.6256
_cell_length_c 6.4723
_cell_angle_alpha 90.00
_cell_angle_beta 90.00
_cell_angle_gamma 120.00
loop_
_atom_site_label
_atom_site_fract_x
_atom_site_fract_y
_atom_site_fract_z
Th1 0.0000 0.0000 0.0000
Ga1 0.0000 0.0000 0.5000
Ga2 0.1015 0.5507 0.3551
Cu1 0.0000 0.2709 0.0000
Cu2 0.1062 0.5531 0.9465

Record 2
# GGA-PBE Th2Ga3Cu, optimized geometry
# Magnetic moment ... 0.00 Bohr magnetons per cell
# ρ ... 9251 kg/m3
# Energy of formation ... -0.530 eV/atom
# Calculated volume ... 265 Å³/cell
data_Th2Ga3Cu
_chemical_formula_sum 'Th4 Ga6 Cu2'
_symmetry_space_group_name_H-M 'I m m 2'
_symmetry_Int_Tables_number 44
_symmetry_space_group_name_Hall 'I 2 -2'
_cell_length_a 4.1041
_cell_length_b 4.3176
_cell_length_c 14.9271
_cell_angle_alpha 90.00
_cell_angle_beta 90.00
_cell_angle_gamma 90.00
loop_
_atom_site_label
_atom_site_fract_x
_atom_site_fract_y
_atom_site_fract_z
Th1 0.0000 0.0000 0.0000
Th2 0.0000 0.5000 0.2537
Ga1 0.0000 0.0000 0.4241
Ga2 0.0000 0.5000 0.6636
Ga3 0.0000 0.5000 0.8323
Cu1 0.0000 0.0000 0.5870

Record 3
# GGA-PBE ThGaCu5, optimized geometry
# Magnetic moment ... 0.00 Bohr magnetons per cell
# ρ ... 9582 kg/m3
# Energy of formation ... -0.246 eV/atom
# Calculated volume ... 429 Å³/cell
data_ThGaCu5
_chemical_formula_sum 'Th4 Ga4 Cu20'
_symmetry_space_group_name_H-M 'P n m a'
_symmetry_Int_Tables_number 62
_symmetry_space_group_name_Hall '-P 2ac 2n'
_cell_length_a 8.1594
_cell_length_b 5.0969
_cell_length_c 10.3259
_cell_angle_alpha 90.00
_cell_angle_beta 90.00
_cell_angle_gamma 90.00
loop_
_atom_site_label
_atom_site_fract_x
_atom_site_fract_y
_atom_site_fract_z
Th1 0.2412 0.2500 0.0586
Ga1 0.1456 0.7500 0.8582
Cu1 0.0667 0.0049 0.3076
Cu2 0.0706 0.7500 0.0959
Cu3 0.0901 0.2500 0.5161
Cu4 0.1784 0.2500 0.7543

Record 4
# GGA-PBE Th2GaCu3, optimized geometry
# Magnetic moment ... 0.00 Bohr magnetons per cell
# ρ ... 9954 kg/m3
# Energy of formation ... -0.294 eV/atom
# Relative energy among the computed polymorphs ... 0.000 eV/atom
# Calculated volume ... 967 Å³/cell
data_Th2GaCu3
_chemical_formula_sum 'Th16 Ga8 Cu24'
_symmetry_space_group_name_H-M 'F m m m'
_symmetry_Int_Tables_number 69
_symmetry_space_group_name_Hall '-F 2 2'
_cell_length_a 7.0166
_cell_length_b 8.9170
_cell_length_c 15.4530
_cell_angle_alpha 90.00
_cell_angle_beta 90.00
_cell_angle_gamma 90.00
loop_
_atom_site_label
_atom_site_fract_x
_atom_site_fract_y
_atom_site_fract_z
Th1 0.2388 0.0000 0.0000
Th2 0.2500 0.2500 0.2500
Ga1 0.0000 0.0000 0.3345
Cu1 0.0000 0.0000 0.1670
Cu2 0.0000 0.2478 0.4173

Record 5
# GGA-PBE Th2Ga3Cu, optimized geometry
# Magnetic moment ... 0.00 Bohr magnetons per cell
# ρ ... 9292 kg/m3
# Energy of formation ... -0.532 eV/atom
# Calculated volume ... 132 Å³/cell
data_Th2Ga3Cu
_chemical_formula_sum 'Th2 Ga3 Cu1'
_symmetry_space_group_name_H-M 'P m m 2'
_symmetry_Int_Tables_number 25
_symmetry_space_group_name_Hall 'P 2 -2'
_cell_length_a 4.1273
_cell_length_b 4.2890
_cell_length_c 7.4379
_cell_angle_alpha 90.00
_cell_angle_beta 90.00
_cell_angle_gamma 90.00
loop_
_atom_site_label
_atom_site_fract_x
_atom_site_fract_y
_atom_site_fract_z
Th1 0.0000 0.0000 0.0000
Th2 0.0000 0.5000 0.4959
Ga1 0.5000 0.0000 0.6569
Ga2 0.5000 0.5000 0.1722
Ga3 0.5000 0.5000 0.8338
Cu1 0.5000 0.0000 0.3284

Record 6
# GGA-PBE ThGa2Cu6, optimized geometry
# Magnetic moment ... 0.00 Bohr magnetons per cell
# ρ ... 9028 kg/m3
# Energy of formation ... -0.199 eV/atom
# Relative energy among the computed polymorphs ... 0.000 eV/atom
# Calculated volume ... 138 Å³/cell
data_ThGa2Cu6
_chemical_formula_sum 'Th1 Ga2 Cu6'
_symmetry_space_group_name_H-M 'P 4/m m m'
_symmetry_Int_Tables_number 123
_symmetry_space_group_name_Hall '-P 4 2'
_cell_length_a 4.1991
_cell_length_b 4.1991
_cell_length_c 7.8520
_cell_angle_alpha 90.00
_cell_angle_beta 90.00
_cell_angle_gamma 90.00
loop_
_atom_site_label
_atom_site_fract_x
_atom_site_fract_y
_atom_site_fract_z
Th1 0.0000 0.0000 0.0000
Ga1 0.5000 0.5000 0.1589
Cu1 0.0000 0.0000 0.5000
Cu2 0.0000 0.5000 0.3225
Cu3 0.5000 0.5000 0.5000